1.
The following is a DFT calculation (GGA-PBE) of a relaxed structure of NbTlZnTe3.

**Density**: 7.16 g/cm3
**Crystal system**: orthorhombic
**Total magnetization**: 0.324 μB/atom
**E**: -4.102 eV/atom

a b c (Å): 8.170 8.170 10.848
angles (deg): 90.00 90.00 151.47
Last column: magnetic moment on the atom in μB.
Fractional positions:
Nb 0.000 0.000 0.000  1.47
Nb 0.000 0.000 0.500  1.45
Te 0.371 0.629 0.044  0.00
Te 0.073 0.927 0.250  -0.01
Te 0.371 0.629 0.456  0.00
Te 0.629 0.371 0.544  0.00
Te 0.927 0.073 0.750  -0.01
Te 0.629 0.371 0.956  0.00
Tl 0.758 0.242 0.250  0.03
Tl 0.242 0.758 0.750  0.03
Zn 0.462 0.538 0.250  0.01
Zn 0.538 0.462 0.750  0.01

2.
The following is a DFT calculation (GGA-PBE) of a relaxed structure of TmNbTe.

**Density**: 7.49 g/cm3
**Crystal system**: cubic
**Total magnetization**: 1.057 μB/atom
**E**: -5.256 eV/atom

a b c (Å): 4.962 4.962 4.962
angles (deg): 60.00 60.00 60.00
Fractional positions:
Nb 0.250 0.250 0.250
Te 0.750 0.750 0.750
Tm 0.000 0.000 0.000

3.
The following is a DFT calculation (GGA-PBE) of a relaxed structure of TmNbTe.

**Density**: 8.49 g/cm3
**Crystal system**: cubic
**Total magnetization**: 0.003 μB/atom
**E**: -5.857 eV/atom

a b c (Å): 4.758 4.758 4.758
angles (deg): 60.00 60.00 60.00
Fractional positions:
Nb 0.250 0.250 0.250
Te 0.000 0.000 0.000
Tm 0.750 0.750 0.750